# 1
The following is a DFT calculation (PBE) of CoAuSe2 after structural relaxation.

Output
total energy	-4.359	eV/atom

a = 7.5899 Å, b = 12.1497 Å, c = 13.7503 Å
α = 90.00°, β = 104.59°, γ = 90.00°
Space group C2/c (No. 15)
Asymmetric unit:
Co 0.0151 0.1812 0.3434 (multiplicity 8)
Co 0.2043 0.4318 0.1705 (multiplicity 8)
Au 0.1078 0.2731 0.8699 (multiplicity 8)
Au 0.1614 0.0362 0.0792 (multiplicity 8)
Se 0.0000 0.0109 0.2500 (multiplicity 4)
Se 0.0000 0.4847 0.7500 (multiplicity 4)
Se 0.0361 0.3139 0.0431 (multiplicity 8)
Se 0.2327 0.2742 0.2730 (multiplicity 8)
Se 0.2485 0.4290 0.5547 (multiplicity 8)

# 2
The following is a DFT calculation (PBE) of MnBeFeAs after structural relaxation.

Output
energy of formation from the pure elements	-30.4	meV per atom

a = 5.5372 Å, b = 5.5372 Å, c = 5.5372 Å
α = 90.00°, β = 90.00°, γ = 90.00°
Space group F-43m (No. 216)
Asymmetric unit:
Mn 0.0000 0.0000 0.0000 (multiplicity 4)
Be 0.2500 0.2500 0.7500 (multiplicity 4)
Fe 0.0000 0.0000 0.5000 (multiplicity 4)
As 0.2500 0.2500 0.2500 (multiplicity 4)

# 3
The following is a DFT calculation (PBE) of TlCd2H2 after structural relaxation.

Output
polymorph energy (0 for the lowest one)	0.00	eV/f.u.

a = 3.2601 Å, b = 3.3640 Å, c = 9.1207 Å
α = 98.62°, β = 98.56°, γ = 99.14°
Space group P-1 (No. 2)
Asymmetric unit:
Tl 0.0000 0.0000 0.0000 (multiplicity 1)
Cd 0.1546 0.6341 0.2835 (multiplicity 2)
H 0.2914 0.3097 0.6066 (multiplicity 2)

# 4
The following is a DFT calculation (PBE) of UBC after structural relaxation.

Output
energy of formation from the pure elements	-319.0	meV per atom
polymorph energy (0 for the lowest one)	0.39	eV/f.u.

a = 2.8907 Å, b = 9.5886 Å, c = 4.9545 Å
α = 90.00°, β = 90.00°, γ = 90.00°
Space group Cmcm (No. 63)
Asymmetric unit:
U 0.0000 0.1309 0.2500 (multiplicity 4)
B 0.0000 0.4051 0.2500 (multiplicity 4)
C 0.0000 0.1547 0.7500 (multiplicity 4)

# 5
The following is a DFT calculation (PBE) of CoSe2Cl after structural relaxation.

Output
polymorph energy (0 for the lowest one)	2.36	eV/f.u.

a = 5.3583 Å, b = 5.3583 Å, c = 5.3903 Å
α = 90.00°, β = 90.00°, γ = 90.00°
Space group I4/mmm (No. 139)
Asymmetric unit:
Co 0.0000 0.0000 0.0000 (multiplicity 2)
Se 0.0000 0.5000 0.0000 (multiplicity 4)
Cl 0.0000 0.0000 0.5000 (multiplicity 2)

# 6
The following is a DFT calculation (PBE) of Tm2Ag after structural relaxation.

Output
energy of formation from the pure elements	-208.7	meV per atom

a = 3.5653 Å, b = 3.5653 Å, c = 12.0638 Å
α = 90.00°, β = 90.00°, γ = 90.00°
Space group P4/mmm (No. 123)
Asymmetric unit:
Tm 0.0000 0.0000 0.0000 (multiplicity 1)
Tm 0.0000 0.0000 0.3001 (multiplicity 2)
Tm 0.5000 0.5000 0.5000 (multiplicity 1)
Ag 0.5000 0.5000 0.1497 (multiplicity 2)